Here is an optimized crystal structure of KPu2ZnCl8 from the Alexandria database. Energies are from PBE.

The density is 4.0 g/cm³. The uncorrected formation energy comes out at -1.6755 eV/atom.

The space group is P2/m (No. 10) and the conventional cell measures 6.435, 8.537 and 6.609 Å, with angles of 90.00, 94.06 and 90.00 degrees. Symmetry generates all atoms from K at (0.000, 0.000, 0.000), Pu at (0.500, 0.260, 0.500), Zn at (0.000, 0.500, 0.000), Cl at (0.218, 0.297, 0.162), Cl at (0.270, 0.500, 0.668) and Cl at (0.285, 0.000, 0.640).